1.
A plane-wave DFT calculation with SCAN was carried out for Be2AlTlIn at its PBEsol-relaxed geometry.

Geometry as POSCAR:
```
Be2AlTlIn
1.0
4.4705 0.0000 0.0000
0.0000 4.4705 0.0000
0.0000 0.0000 5.4901
Be Tl Al In
2 1 1 1
Cartesian
0.0000 2.2353 0.0000
2.2353 0.0000 0.0000
2.2353 2.2353 2.7450
0.0000 0.0000 0.0000
0.0000 0.0000 2.7450
```

Computed properties:
Space group: P4/mmm
E, Ry/atom: -1.7400
Energy relative to the elements, eV per atom: 0.767
Calculated volume, A^3/atom: 21.94

***

2.
A plane-wave DFT calculation with SCAN was carried out for La3CdTc at its PBEsol-relaxed geometry.

Geometry as POSCAR:
```
La3CdTc
1.0
5.3792 0.0000 0.0000
0.0000 5.3792 0.0000
0.0000 0.0000 5.3792
Cd Tc La
1 1 3
Cartesian
2.6896 2.6896 2.6896
0.0000 0.0000 0.0000
0.0000 2.6896 0.0000
0.0000 0.0000 2.6896
2.6896 0.0000 0.0000
```

Computed properties:
Space group: Pm-3m
E, Ry/atom: -2.8722
Energy relative to the elements, eV per atom: -0.121
Calculated volume, A^3/atom: 31.13

***

3.
A plane-wave DFT calculation with SCAN was carried out for ErNiGe at its PBEsol-relaxed geometry.

Geometry as POSCAR:
```
ErNiGe
1.0
4.0562 0.0000 0.0000
2.0281 4.9707 0.0010
2.0281 0.5212 5.0174
Er Ni Ge
2 2 2
Cartesian
4.0562 1.8766 4.0778
4.0562 3.6153 0.9406
4.0562 4.8030 3.9170
4.0562 0.6889 1.1014
6.0843 3.9878 3.0174
2.0281 1.5041 2.0010
```

Computed properties:
Space group: C2/m
E, Ry/atom: -2.1568
Energy relative to the elements, eV per atom: -0.811
Calculated volume, A^3/atom: 16.86

***

4.
A plane-wave DFT calculation with SCAN was carried out for Fe3SnS at its PBEsol-relaxed geometry.

Geometry as POSCAR:
```
Fe3SnS
1.0
4.7189 0.0000 0.0000
0.0000 4.7189 0.0000
0.0000 0.0000 4.7189
S Sn Fe
1 1 3
Cartesian
2.3595 2.3595 2.3595
0.0000 0.0000 0.0000
0.0000 2.3595 0.0000
0.0000 0.0000 2.3595
2.3595 0.0000 0.0000
```

Computed properties:
Space group: Pm-3m
E, Ry/atom: -1.3608
Formation energy (no corrections), eV/atom: 1.4723
Calculated volume, A^3/atom: 21.02

***

5.
A plane-wave DFT calculation with SCAN was carried out for CaSiAs2 at its PBEsol-relaxed geometry.

Geometry as POSCAR:
```
CaSiAs2
1.0
3.9833 0.0000 0.0000
0.0000 3.9833 0.0000
-1.9916 -1.9916 4.8935
As Si Ca
2 1 1
Cartesian
0.0000 0.0000 0.0000
1.9916 0.0000 2.4468
0.0000 1.9916 2.4468
1.9916 1.9916 0.0000
```

Computed properties:
Space group: I-4m2
E, Ry/atom: -1.1133
Formation energy (no corrections), eV/atom: -0.1319
Calculated volume, A^3/atom: 19.41

***

6.
A plane-wave DFT calculation with SCAN was carried out for NaIr2W at its PBEsol-relaxed geometry.

Geometry as POSCAR:
```
NaIr2W
1.0
-2.7356 -3.3029 -0.8883
0.2445 -3.7231 2.2936
-3.1731 -1.0381 2.8348
Na Ir W
1 2 1
Cartesian
0.0000 0.0000 0.0000
-1.4160 -2.0160 1.0600
-4.2481 -6.0481 3.1801
-2.8321 -4.0321 2.1200
```

Computed properties:
Space group: Fm-3m
E, Ry/atom: -3.9526
Energy relative to the elements, eV per atom: 0.248
Calculated volume, A^3/atom: 14.85

***

7.
A plane-wave DFT calculation with SCAN was carried out for FeSb2As2 at its PBEsol-relaxed geometry.

Geometry as POSCAR:
```
FeSb2As2
1.0
5.7248 0.0000 0.0000
0.0000 6.0874 0.0000
0.0000 0.0000 6.0874
Sb As Fe
4 4 2
Cartesian
2.8624 1.7506 4.7943
2.8624 4.7943 4.3368
2.8624 4.3368 1.2931
2.8624 1.2931 1.7506
0.0000 2.1433 5.1870
0.0000 5.1870 3.9441
0.0000 3.9441 0.9004
0.0000 0.9004 2.1433
0.0000 0.0000 0.0000
0.0000 3.0437 3.0437
```

Computed properties:
Space group: P4/mbm
E, Ry/atom: -1.9457
Formation energy (no corrections), eV/atom: 0.1333
Calculated volume, A^3/atom: 21.21

***

8.
A plane-wave DFT calculation with SCAN was carried out for BeZnBr2 at its PBEsol-relaxed geometry.

Geometry as POSCAR:
```
BeZnBr2
1.0
6.5668 0.0760 0.1117
-2.9738 5.8554 -0.1117
-2.9738 -2.2526 5.4059
Be Zn Br
2 2 4
Cartesian
0.3096 -0.1876 4.0824
-2.9738 1.8014 2.6471
0.3096 3.8664 1.3235
0.0000 0.0000 0.0000
3.8577 2.6637 0.7176
-1.7515 0.1145 3.3647
-2.3996 3.4805 3.9530
1.5319 1.0990 2.7765
```

Computed properties:
Offset from the most stable computed form, meV per atom: 0
Space group: I-42d
E, Ry/atom: -1.0707
Formation energy (no corrections), eV/atom: -0.3705
Calculated volume, A^3/atom: 26.27

***

9.
A plane-wave DFT calculation with SCAN was carried out for IrRu7 at its PBEsol-relaxed geometry.

Geometry as POSCAR:
```
IrRu7
1.0
-3.4600 -1.9587 3.5569
0.1140 -5.1832 1.2573
1.7077 -1.5401 4.8137
Ir Ru
1 7
Cartesian
0.0000 0.0000 0.0000
0.9109 -3.3617 3.0355
0.0570 -2.5916 0.6286
0.8538 -0.7701 2.4068
-1.6730 -3.5709 2.4071
-0.8762 -1.7494 4.1853
-1.7300 -0.9793 1.7784
-0.8191 -4.3410 4.8139
```

Computed properties:
Space group: Fm-3m
E, Ry/atom: -2.8875
Energy relative to the elements, eV per atom: 0.073
Calculated volume, A^3/atom: 13.42

***

10.
A plane-wave DFT calculation with SCAN was carried out for RbAg2MoSe at its PBEsol-relaxed geometry.

Geometry as POSCAR:
```
RbAg2MoSe
1.0
5.0202 0.0000 0.0000
0.0000 5.0202 0.0000
0.0000 0.0000 6.1359
Mo Se Rb Ag
1 1 1 2
Cartesian
2.5101 2.5101 3.0680
0.0000 0.0000 0.0000
0.0000 0.0000 3.0680
0.0000 2.5101 0.0000
2.5101 0.0000 0.0000
```

Computed properties:
Space group: P4/mmm
E, Ry/atom: -1.9672
Formation energy (no corrections), eV/atom: 0.9225
Calculated volume, A^3/atom: 30.93

***

11.
A plane-wave DFT calculation with SCAN was carried out for BeAsSe2F at its PBEsol-relaxed geometry.

Geometry as POSCAR:
```
BeAsSe2F
1.0
-2.2999 0.6804 -3.1449
-1.5290 -4.6060 0.1216
-3.6416 1.2865 2.9414
Be As Se F
1 1 2 1
Cartesian
-3.7352 -1.3196 -0.0409
-1.1499 0.3402 -1.5724
-1.8208 0.6432 1.4707
-0.7645 -2.3030 0.0608
0.0000 0.0000 0.0000
```

Computed properties:
Space group: P4/mmm
E, Ry/atom: -0.9506
Formation energy (no corrections), eV/atom: 0.7145
Calculated volume, A^3/atom: 18.64

***

12.
A plane-wave DFT calculation with SCAN was carried out for LaMg2Sb at its PBEsol-relaxed geometry.

Geometry as POSCAR:
```
LaMg2Sb
1.0
4.4693 0.0000 0.0000
0.0000 4.4693 0.0000
-2.2346 -2.2346 5.4875
La Mg Sb
1 2 1
Cartesian
0.0000 0.0000 0.0000
2.2346 0.0000 2.7437
0.0000 2.2346 2.7437
2.2346 2.2346 0.0000
```

Computed properties:
Space group: I4/mmm
E, Ry/atom: -1.6922
Formation energy (no corrections), eV/atom: -0.4459
Calculated volume, A^3/atom: 27.40

***

Repeat the third record exactly.
A plane-wave DFT calculation with SCAN was carried out for ErNiGe at its PBEsol-relaxed geometry.

Geometry as POSCAR:
```
ErNiGe
1.0
4.0562 0.0000 0.0000
2.0281 4.9707 0.0010
2.0281 0.5212 5.0174
Er Ni Ge
2 2 2
Cartesian
4.0562 1.8766 4.0778
4.0562 3.6153 0.9406
4.0562 4.8030 3.9170
4.0562 0.6889 1.1014
6.0843 3.9878 3.0174
2.0281 1.5041 2.0010
```

Computed properties:
Space group: C2/m
E, Ry/atom: -2.1568
Energy relative to the elements, eV per atom: -0.811
Calculated volume, A^3/atom: 16.86

***

Question: What is the calculated volume in the twelfth record?
Answer: 27.40 A^3/atom

***

Please write out number 7 again, unchanged.
A plane-wave DFT calculation with SCAN was carried out for FeSb2As2 at its PBEsol-relaxed geometry.

Geometry as POSCAR:
```
FeSb2As2
1.0
5.7248 0.0000 0.0000
0.0000 6.0874 0.0000
0.0000 0.0000 6.0874
Sb As Fe
4 4 2
Cartesian
2.8624 1.7506 4.7943
2.8624 4.7943 4.3368
2.8624 4.3368 1.2931
2.8624 1.2931 1.7506
0.0000 2.1433 5.1870
0.0000 5.1870 3.9441
0.0000 3.9441 0.9004
0.0000 0.9004 2.1433
0.0000 0.0000 0.0000
0.0000 3.0437 3.0437
```

Computed properties:
Space group: P4/mbm
E, Ry/atom: -1.9457
Formation energy (no corrections), eV/atom: 0.1333
Calculated volume, A^3/atom: 21.21

***

Question: Which value of calculated volume does entry 10 give?
Answer: 30.93 A^3/atom